Entry 1:
FeP2Cl after structural relaxation. Source: Alexandria via LeMat-Bulk, functional PBE.

Calculated values
- calculated volume (A^3/atom) = 26.8
- energy relative to the lowest polymorph listed for this composition (eV/atom) = 0.481

a = 5.7704 Å, b = 5.7704 Å, c = 5.7704 Å
α = 143.83°, β = 89.27°, γ = 101.86°
Positions (direct):
Fe  0.0000  0.0000  0.0000
P  0.1586  0.6586  0.5000
P  0.3222  0.3222  0.0000
Cl  0.7762  0.2762  0.5000

---

Entry 2:
FePCl2 after structural relaxation. Source: Alexandria via LeMat-Bulk, functional PBE.

Calculated values
- calculated volume (A^3/atom) = 22.2
- energy relative to the lowest polymorph listed for this composition (eV/atom) = 0.808

a = 10.1061 Å, b = 10.1061 Å, c = 10.1061 Å
α = 18.27°, β = 18.27°, γ = 18.27°
Positions (direct):
Fe  0.0000  0.0000  0.0000
P  0.5000  0.5000  0.5000
Cl  0.2898  0.2898  0.2898
Cl  0.7102  0.7102  0.7102

---

Entry 3:
FePCl3 after structural relaxation. Source: Alexandria via LeMat-Bulk, functional PBE.

Calculated values
- calculated volume (A^3/atom) = 29.5
- energy relative to the lowest polymorph listed for this composition (eV/atom) = 0.000

a = 9.5410 Å, b = 9.5410 Å, c = 3.7441 Å
α = 90.00°, β = 90.00°, γ = 120.00°
Positions (direct):
Fe  0.3333  0.6667  0.2500
Fe  0.6667  0.3333  0.7500
P  0.0000  0.0000  0.0000
P  0.0000  0.0000  0.5000
Cl  0.2263  0.4526  0.7500
Cl  0.2263  0.7737  0.7500
Cl  0.4526  0.2263  0.2500
Cl  0.5474  0.7737  0.7500
Cl  0.7737  0.2263  0.2500
Cl  0.7737  0.5474  0.2500

---

Entry 4:
FeP2Cl after structural relaxation. Source: Alexandria via LeMat-Bulk, functional PBE.

Calculated values
- calculated volume (A^3/atom) = 14.8
- energy relative to the lowest polymorph listed for this composition (eV/atom) = 0.621

a = 5.6651 Å, b = 5.6651 Å, c = 5.6651 Å
α = 152.07°, β = 135.56°, γ = 53.31°
Positions (direct):
Fe  0.0000  0.0000  0.0000
P  0.1879  0.6879  0.5000
P  0.8121  0.3121  0.5000
Cl  0.5000  0.5000  0.0000

---

Entry 5:
FeP2Cl after structural relaxation. Source: Alexandria via LeMat-Bulk, functional PBE.

Calculated values
- calculated volume (A^3/atom) = 23.2
- energy relative to the lowest polymorph listed for this composition (eV/atom) = 0.000

a = 4.1173 Å, b = 3.1933 Å, c = 7.2137 Å
α = 90.00°, β = 102.29°, γ = 90.00°
Positions (direct):
Fe  0.0000  0.0000  0.0000
P  0.2982  0.5000  0.2668
P  0.5566  0.0000  0.1523
Cl  0.9365  0.5000  0.7649

---

Entry 6:
FePCl2 after structural relaxation. Source: Alexandria via LeMat-Bulk, functional PBE.

Calculated values
- calculated volume (A^3/atom) = 22.3
- energy relative to the lowest polymorph listed for this composition (eV/atom) = 0.775

a = 3.3219 Å, b = 3.3219 Å, c = 9.7012 Å
α = 90.00°, β = 90.00°, γ = 123.71°
Positions (direct):
Fe  0.0000  0.0000  0.0000
P  0.0000  0.0000  0.5000
Cl  0.5000  0.5000  0.1774
Cl  0.5000  0.5000  0.8226

---

Number 1: formation energy without anion corrections 0.27 eV per atom, raw total energy -5.01 eV per atom. Number 2: formation energy without anion corrections 0.33 eV per atom, raw total energy -4.06 eV per atom. Number 3: formation energy without anion corrections 0.00 eV per atom, raw total energy -3.89 eV per atom. Number 4: formation energy without anion corrections 0.41 eV per atom, raw total energy -4.87 eV per atom. Number 5: formation energy without anion corrections -0.21 eV per atom, raw total energy -5.50 eV per atom. Number 6: formation energy without anion corrections 0.30 eV per atom, raw total energy -4.09 eV per atom.